No. 1
This record from Alexandria describes a geometry-optimized Li2Cd2PPd4 structure. The functional is PBE.

a = 5.900 Å, b = 5.900 Å, c = 5.900 Å
α = 92.38°, β = 118.64°, γ = 118.64°
Atoms (fractional coordinates):
Li1 0.000 0.711 0.711
Li2 0.000 0.289 0.289
Cd1 0.500 0.750 0.250
Cd2 0.500 0.250 0.750
P1 0.000 0.000 0.000
Pd1 0.000 0.736 0.264
Pd2 0.471 0.736 0.736
Pd3 0.000 0.264 0.736
Pd4 0.529 0.264 0.264

**Energy relative to the elements**: -410 meV/atom
**Fermi-level density of states**: 0.457 states/eV per atom

No. 2
This record from Alexandria describes a geometry-optimized Li2CdPRh structure. The functional is PBE.

a = 4.600 Å, b = 4.653 Å, c = 4.600 Å
α = 90.00°, β = 90.00°, γ = 90.00°
Atoms (fractional coordinates):
P1 0.000 0.500 0.000
Li1 0.000 0.000 0.500
Li2 0.500 0.000 0.000
Rh1 0.500 0.500 0.500
Cd1 0.000 0.000 0.000

**Energy relative to the elements**: 782 meV/atom
**Fermi-level density of states**: 0.639 states/eV per atom

No. 3
This record from Alexandria describes a geometry-optimized LiCdP2S structure. The functional is PBE.

a = 4.991 Å, b = 4.991 Å, c = 5.201 Å
α = 90.00°, β = 90.00°, γ = 90.00°
Site moments in Bohr magnetons follow the coordinates.
Atoms (fractional coordinates):
P1 0.000 0.500 0.000  0.26
P2 0.500 0.000 0.000  0.26
S1 0.000 0.000 0.500  0.14
Li1 0.500 0.500 0.500  0.00
Cd1 0.000 0.000 0.000  0.01

**E_form (uncorrected)**: 0.767 eV per atom
**Fermi-level density of states**: 0.675 states/eV per atom
**Excess energy over the best structure of this formula in the dataset**: 164 meV per atom